Computed, not measured: LiVB2O5 after structural relaxation at the PBE+U level of DFT.

## Properties
The value obtained for the total DFT energy (no corrections) is -543.93 eV/cell. For the magnetic moment, the calculation gives 16.000 μB per cell. The value obtained for the volume is 12.16 Å³ per atom. The density of states at the Fermi level is 0.0 states/eV/cell.

abc: 10.5413 9.9259 9.3327
angles: 90.00 116.24 90.00
Space group C2/c (No. 15)
Symmetry-distinct sites (fractional):
Li1 0.0000 0.0884 0.2500
Li2 0.0000 0.3524 0.7500
V1 0.2207 0.3077 0.1497
B1 0.0596 0.1633 0.5179
B2 0.2436 0.4933 0.8955
O1 0.0596 0.1962 0.1163
O2 0.0966 0.2171 0.6653
O3 0.1415 0.0643 0.4861
O4 0.1738 0.4667 0.2427
O5 0.2049 0.3728 0.9436